# 1
Crystalline SrPrPt4 at its relaxed geometry, computed with GGA-PBE.

Cell lengths 5.5364, 5.5364, 5.5364 Å; angles 60.00, 60.00, 60.00 degrees
Positions (direct):
Sr 0.0000 0.0000 0.0000
Pr 0.7500 0.7500 0.7500
Pt 0.3749 0.3749 0.3749
Pt 0.3749 0.3749 0.8754
Pt 0.3749 0.8754 0.3749
Pt 0.8754 0.3749 0.3749

Results
Magnetization: 0.004 μB/atom
Final energy: -0.44503 Ry/atom
Volume: 20.00 A^3/atom



# 2
Crystalline LiIrO3 at its relaxed geometry, computed with GGA-PBE.

Cell lengths 5.4077, 6.6270, 5.1392 Å; angles 90.00, 90.00, 90.00 degrees
Positions (direct):
Li 0.0000 0.0000 0.0000
Li 0.0000 0.5000 0.0000
Li 0.5000 0.0000 0.5000
Li 0.5000 0.5000 0.5000
Ir 0.0719 0.2500 0.4781
Ir 0.4281 0.7500 0.9781
Ir 0.5719 0.2500 0.0219
Ir 0.9281 0.7500 0.5219
O 0.0855 0.7500 0.8630
O 0.1561 0.5623 0.3551
O 0.1561 0.9377 0.3551
O 0.3439 0.0623 0.8551
O 0.3439 0.4377 0.8551
O 0.4145 0.2500 0.3630
O 0.5855 0.7500 0.6370
O 0.6561 0.5623 0.1449
O 0.6561 0.9377 0.1449
O 0.8439 0.0623 0.6449
O 0.8439 0.4377 0.6449
O 0.9145 0.2500 0.1370

Results
Magnetization: 0.001 μB/atom
Final energy: -0.43684 Ry/atom
Volume: 9.21 A^3/atom



# 3
Crystalline Be2FeB at its relaxed geometry, computed with GGA-PBE.

Cell lengths 4.9620, 4.9620, 4.9620 Å; angles 90.00, 90.00, 90.00 degrees
Positions (direct):
Be 0.0000 0.0000 0.0000
Be 0.0000 0.5000 0.5000
Be 0.2500 0.2500 0.2500
Be 0.2500 0.7500 0.7500
Be 0.5000 0.0000 0.5000
Be 0.5000 0.5000 0.0000
Be 0.7500 0.2500 0.7500
Be 0.7500 0.7500 0.2500
Fe 0.0000 0.0000 0.5000
Fe 0.0000 0.5000 0.0000
Fe 0.5000 0.0000 0.0000
Fe 0.5000 0.5000 0.5000
B 0.2500 0.2500 0.7500
B 0.2500 0.7500 0.2500
B 0.7500 0.2500 0.2500
B 0.7500 0.7500 0.7500

Results
Magnetization: 0.004 μB/atom
Final energy: -0.41250 Ry/atom
Volume: 7.64 A^3/atom



# 4
Crystalline YLuGa2 at its relaxed geometry, computed with GGA-PBE.

Cell lengths 7.1421, 7.1421, 7.1421 Å; angles 90.00, 90.00, 90.00 degrees
Positions (direct):
Y 0.0000 0.0000 0.0000
Y 0.0000 0.5000 0.5000
Y 0.5000 0.0000 0.5000
Y 0.5000 0.5000 0.0000
Lu 0.2500 0.2500 0.2500
Lu 0.2500 0.7500 0.7500
Lu 0.7500 0.2500 0.7500
Lu 0.7500 0.7500 0.2500
Ga 0.0000 0.0000 0.5000
Ga 0.0000 0.5000 0.0000
Ga 0.2500 0.2500 0.7500
Ga 0.2500 0.7500 0.2500
Ga 0.5000 0.0000 0.0000
Ga 0.5000 0.5000 0.5000
Ga 0.7500 0.2500 0.2500
Ga 0.7500 0.7500 0.7500

Results
Magnetization: 0.102 μB/atom
Final energy: -0.31034 Ry/atom
Volume: 22.77 A^3/atom



# 5
Crystalline NbAgPO at its relaxed geometry, computed with GGA-PBE.

Cell lengths 4.8256, 4.8256, 4.8569 Å; angles 90.00, 90.00, 90.00 degrees
Positions (direct):
Nb 0.2500 0.7500 0.0000
Nb 0.7500 0.2500 0.0000
Ag 0.2500 0.2500 0.3691
Ag 0.7500 0.7500 0.6309
P 0.2500 0.2500 0.8680
P 0.7500 0.7500 0.1320
O 0.2500 0.7500 0.5000
O 0.7500 0.2500 0.5000

Results
Magnetization: 0.000 μB/atom
Final energy: -0.46062 Ry/atom
Volume: 14.14 A^3/atom
E above lowest polymorph: 403 meV per atom



# 6
Crystalline GdTlCo at its relaxed geometry, computed with GGA-PBE.

Cell lengths 6.7865, 6.7865, 6.7865 Å; angles 90.00, 90.00, 90.00 degrees
Positions (direct):
Gd 0.0000 0.0000 0.0000
Gd 0.0000 0.5000 0.5000
Gd 0.5000 0.0000 0.5000
Gd 0.5000 0.5000 0.0000
Tl 0.2500 0.2500 0.2500
Tl 0.2500 0.7500 0.7500
Tl 0.7500 0.2500 0.7500
Tl 0.7500 0.7500 0.2500
Co 0.2500 0.2500 0.7500
Co 0.2500 0.7500 0.2500
Co 0.7500 0.2500 0.2500
Co 0.7500 0.7500 0.7500

Results
Magnetization: 0.330 μB/atom
Final energy: -0.29950 Ry/atom
Volume: 26.05 A^3/atom



# 7
Crystalline Y4Cd3W2C3 at its relaxed geometry, computed with GGA-PBE.

Cell lengths 5.9365, 5.9365, 15.4373 Å; angles 102.83, 102.83, 60.64 degrees
Positions (direct):
Y 0.0557 0.1845 0.0953
Y 0.1110 0.2987 0.4046
Y 0.1845 0.0557 0.5953
Y 0.2987 0.1110 0.9046
Y 0.7013 0.8890 0.0954
Y 0.8155 0.9443 0.4047
Y 0.8890 0.7013 0.5954
Y 0.9443 0.8155 0.9047
Cd 0.1488 0.8512 0.2500
Cd 0.3081 0.4222 0.7578
Cd 0.4222 0.3081 0.2578
Cd 0.5778 0.6919 0.7422
Cd 0.6919 0.5778 0.2422
Cd 0.8512 0.1488 0.7500
W 0.3390 0.5236 0.0617
W 0.4764 0.6610 0.4383
W 0.5236 0.3390 0.5617
W 0.6610 0.4764 0.9383
C 0.0000 0.5000 0.0000
C 0.2068 0.6478 0.5004
C 0.3522 0.7932 0.9996
C 0.5000 0.0000 0.5000
C 0.6478 0.2068 0.0004
C 0.7932 0.3522 0.4996

Results
Magnetization: 0.000 μB/atom
Final energy: -0.52269 Ry/atom
Volume: 19.09 A^3/atom



# 8
Crystalline RbPrNiS3 at its relaxed geometry, computed with GGA-PBE.

Cell lengths 7.5260, 7.5260, 10.9395 Å; angles 90.00, 90.00, 148.50 degrees
Positions (direct):
Rb 0.2418 0.7582 0.7500
Rb 0.7582 0.2418 0.2500
Pr 0.5000 0.5000 0.0000
Pr 0.5000 0.5000 0.5000
Ni 0.0307 0.9693 0.2500
Ni 0.9693 0.0307 0.7500
S 0.1215 0.8785 0.0810
S 0.1215 0.8785 0.4190
S 0.4492 0.5508 0.2500
S 0.5508 0.4492 0.7500
S 0.8785 0.1215 0.5810
S 0.8785 0.1215 0.9190

Results
Magnetization: 0.332 μB/atom
Final energy: -0.38054 Ry/atom
Volume: 26.98 A^3/atom



# 9
Crystalline Y2ErFe6CoNi2 at its relaxed geometry, computed with GGA-PBE.

Cell lengths 8.7008, 8.7008, 8.7008 Å; angles 33.38, 33.38, 33.38 degrees
Positions (direct):
Y 0.1417 0.1417 0.1417
Y 0.8583 0.8583 0.8583
Er 0.0000 0.0000 0.0000
Fe 0.0820 0.5819 0.5819
Fe 0.4181 0.4181 0.9180
Fe 0.4181 0.9180 0.4181
Fe 0.5819 0.0820 0.5819
Fe 0.5819 0.5819 0.0820
Fe 0.9180 0.4181 0.4181
Co 0.5000 0.5000 0.5000
Ni 0.3327 0.3327 0.3327
Ni 0.6673 0.6673 0.6673

Results
ΔE_f: -1.7 eV/f.u.
Magnetization: 1.169 μB/atom
Final energy: -0.53472 Ry/atom
Volume: 14.80 A^3/atom



# 10
Crystalline InCoCuTe2S at its relaxed geometry, computed with GGA-PBE.

Cell lengths 7.4303, 7.4303, 9.2812 Å; angles 90.00, 90.00, 150.33 degrees
Positions (direct):
In 0.2392 0.7608 0.7500
In 0.7608 0.2392 0.2500
Co 0.5000 0.5000 0.0000
Co 0.5000 0.5000 0.5000
Cu 0.0115 0.9885 0.2500
Cu 0.9885 0.0115 0.7500
Te 0.1266 0.8734 0.0422
Te 0.1266 0.8734 0.4578
Te 0.8734 0.1266 0.5422
Te 0.8734 0.1266 0.9578
S 0.4314 0.5686 0.2500
S 0.5686 0.4314 0.7500

Results
Magnetization: 0.100 μB/atom
Final energy: -0.29750 Ry/atom
Volume: 21.14 A^3/atom



# 11
Crystalline Ta4CoSbC2 at its relaxed geometry, computed with GGA-PBE.

Cell lengths 3.2017, 3.2017, 13.0788 Å; angles 90.00, 90.00, 120.00 degrees
Positions (direct):
Ta 0.0000 0.0000 0.1443
Ta 0.0000 0.0000 0.8557
Ta 0.6667 0.3333 0.3303
Ta 0.6667 0.3333 0.6697
Co 0.6667 0.3333 0.0000
Sb 0.0000 0.0000 0.5000
C 0.3333 0.6667 0.2379
C 0.3333 0.6667 0.7621

Results
Magnetization: 0.049 μB/atom
Final energy: -0.72566 Ry/atom
Volume: 14.51 A^3/atom



# 12
Crystalline Mg4Nb3 at its relaxed geometry, computed with GGA-PBE.

Cell lengths 8.1611, 4.9256, 8.1629 Å; angles 90.00, 119.88, 90.00 degrees
Positions (direct):
Mg 0.0324 0.2500 0.1201
Mg 0.1200 0.7500 0.5878
Mg 0.1668 0.2500 0.8334
Mg 0.4122 0.7500 0.0323
Mg 0.5878 0.2500 0.9677
Mg 0.8332 0.7500 0.1666
Mg 0.8800 0.2500 0.4122
Mg 0.9676 0.7500 0.8799
Nb 0.2859 0.7500 0.3274
Nb 0.3283 0.2500 0.5412
Nb 0.4587 0.2500 0.2867
Nb 0.5413 0.7500 0.7133
Nb 0.6717 0.7500 0.4588
Nb 0.7141 0.2500 0.6726

Results
Magnetization: 0.001 μB/atom
Final energy: -0.36932 Ry/atom
Volume: 20.32 A^3/atom
E above lowest polymorph: 0 meV per atom



# 13
Crystalline Sm5Pb2 at its relaxed geometry, computed with GGA-PBE.

Cell lengths 9.0131, 9.0131, 9.0131 Å; angles 35.05, 35.05, 35.05 degrees
Positions (direct):
Sm 0.0000 0.0000 0.0000
Sm 0.1351 0.1351 0.1351
Sm 0.2826 0.2826 0.2826
Sm 0.7174 0.7174 0.7174
Sm 0.8649 0.8649 0.8649
Pb 0.4221 0.4221 0.4221
Pb 0.5779 0.5779 0.5779

Results
Magnetization: 0.192 μB/atom
Final energy: -0.33812 Ry/atom
Volume: 30.80 A^3/atom



# 14
Crystalline HfCoBi2 at its relaxed geometry, computed with GGA-PBE.

Cell lengths 7.1704, 7.1704, 7.1704 Å; angles 90.00, 90.00, 90.00 degrees
Positions (direct):
Hf 0.0000 0.0000 0.0000
Hf 0.0000 0.5000 0.5000
Hf 0.5000 0.0000 0.5000
Hf 0.5000 0.5000 0.0000
Co 0.2500 0.2500 0.7500
Co 0.2500 0.7500 0.2500
Co 0.7500 0.2500 0.2500
Co 0.7500 0.7500 0.7500
Bi 0.0000 0.0000 0.5000
Bi 0.0000 0.5000 0.0000
Bi 0.2500 0.2500 0.2500
Bi 0.2500 0.7500 0.7500
Bi 0.5000 0.0000 0.0000
Bi 0.5000 0.5000 0.5000
Bi 0.7500 0.2500 0.7500
Bi 0.7500 0.7500 0.2500

Results
Magnetization: 0.222 μB/atom
Final energy: -0.42319 Ry/atom
Volume: 23.04 A^3/atom
E above lowest polymorph: 0 meV per atom



# 15
Crystalline YTmNO at its relaxed geometry, computed with GGA-PBE.

Cell lengths 7.9703, 6.7003, 4.8548 Å; angles 90.00, 90.00, 90.00 degrees
Positions (direct):
Y 0.1238 0.0704 0.2500
Y 0.1238 0.4296 0.7500
Y 0.8762 0.5704 0.2500
Y 0.8762 0.9296 0.7500
Tm 0.3747 0.5868 0.2500
Tm 0.3747 0.9132 0.7500
Tm 0.6253 0.0868 0.2500
Tm 0.6253 0.4132 0.7500
N 0.3796 0.5746 0.7500
N 0.3796 0.9254 0.2500
N 0.6204 0.0746 0.7500
N 0.6204 0.4254 0.2500
O 0.1396 0.0925 0.7500
O 0.1396 0.4075 0.2500
O 0.8604 0.5925 0.7500
O 0.8604 0.9075 0.2500

Results
Magnetization: 0.005 μB/atom
Final energy: -0.60991 Ry/atom
Volume: 16.20 A^3/atom
E above lowest polymorph: 89 meV per atom



# 16
Crystalline NdBiPt at its relaxed geometry, computed with GGA-PBE.

Cell lengths 7.7400, 7.7400, 4.3273 Å; angles 90.00, 90.00, 120.00 degrees
Positions (direct):
Nd 0.0000 0.6041 0.0000
Nd 0.3959 0.3959 0.0000
Nd 0.6041 0.0000 0.0000
Bi 0.0000 0.2678 0.5000
Bi 0.2678 0.0000 0.5000
Bi 0.7322 0.7322 0.5000
Pt 0.0000 0.0000 0.0000
Pt 0.3333 0.6667 0.5000
Pt 0.6667 0.3333 0.5000

Results
Magnetization: 0.002 μB/atom
Final energy: -0.42775 Ry/atom
Volume: 24.94 A^3/atom



# 17
Crystalline SmAgMo at its relaxed geometry, computed with GGA-PBE.

Cell lengths 6.7018, 6.7018, 6.7018 Å; angles 90.00, 90.00, 90.00 degrees
Positions (direct):
Sm 0.0000 0.0000 0.0000
Sm 0.0000 0.5000 0.5000
Sm 0.5000 0.0000 0.5000
Sm 0.5000 0.5000 0.0000
Ag 0.0000 0.0000 0.5000
Ag 0.0000 0.5000 0.0000
Ag 0.5000 0.0000 0.0000
Ag 0.5000 0.5000 0.5000
Mo 0.2500 0.2500 0.7500
Mo 0.2500 0.7500 0.2500
Mo 0.7500 0.2500 0.2500
Mo 0.7500 0.7500 0.7500

Results
ΔE_f: 2.9 eV/f.u.
Magnetization: 0.899 μB/atom
Final energy: -0.37934 Ry/atom
Volume: 25.08 A^3/atom
E above lowest polymorph: 0 meV per atom



# 18
Crystalline BeFe2Ag at its relaxed geometry, computed with GGA-PBE.

Cell lengths 5.8074, 5.8074, 5.8074 Å; angles 90.00, 90.00, 90.00 degrees
Positions (direct):
Be 0.0000 0.0000 0.0000
Be 0.0000 0.5000 0.5000
Be 0.5000 0.0000 0.5000
Be 0.5000 0.5000 0.0000
Fe 0.0000 0.0000 0.5000
Fe 0.0000 0.5000 0.0000
Fe 0.2500 0.2500 0.2500
Fe 0.2500 0.7500 0.7500
Fe 0.5000 0.0000 0.0000
Fe 0.5000 0.5000 0.5000
Fe 0.7500 0.2500 0.7500
Fe 0.7500 0.7500 0.2500
Ag 0.2500 0.2500 0.7500
Ag 0.2500 0.7500 0.2500
Ag 0.7500 0.2500 0.2500
Ag 0.7500 0.7500 0.7500

Results
Magnetization: 1.148 μB/atom
Final energy: -0.40537 Ry/atom
Volume: 12.24 A^3/atom



# 19
Crystalline NdAlIn2 at its relaxed geometry, computed with GGA-PBE.

Cell lengths 4.9408, 11.6111, 6.7937 Å; angles 90.00, 90.00, 90.00 degrees
Positions (direct):
Nd 0.2500 0.1617 0.0000
Nd 0.2500 0.6617 0.5000
Nd 0.7500 0.3383 0.5000
Nd 0.7500 0.8383 0.0000
Al 0.2500 0.4308 0.2289
Al 0.2500 0.9308 0.7289
Al 0.7500 0.0692 0.7289
Al 0.7500 0.5692 0.2289
In 0.2500 0.1539 0.5154
In 0.2500 0.4203 0.7773
In 0.2500 0.6539 0.0154
In 0.2500 0.9203 0.2773
In 0.7500 0.0797 0.2773
In 0.7500 0.3461 0.0154
In 0.7500 0.5797 0.7773
In 0.7500 0.8461 0.5154

Results
Magnetization: 0.001 μB/atom
Final energy: -0.28512 Ry/atom
Volume: 24.36 A^3/atom



# 20
Crystalline B2PbW2 at its relaxed geometry, computed with GGA-PBE.

Cell lengths 3.0927, 14.8784, 3.1004 Å; angles 90.00, 90.00, 90.00 degrees
Positions (direct):
B 0.0000 0.2153 0.0000
B 0.0000 0.7847 0.0000
B 0.5000 0.2847 0.0000
B 0.5000 0.7153 0.0000
Pb 0.0000 0.0000 0.0000
Pb 0.5000 0.5000 0.0000
W 0.0000 0.3315 0.5000
W 0.0000 0.6685 0.5000
W 0.5000 0.1685 0.5000
W 0.5000 0.8315 0.5000

Results
Magnetization: 0.001 μB/atom
Final energy: -0.61634 Ry/atom
Volume: 14.27 A^3/atom